(1)
HoBRh2 after structural relaxation, computed with PBE.

Lattice parameters (Å, degrees): 6.4483 6.4483 6.4483 31.01 31.01 31.01
Atoms (fractional coordinates):
Ho: 0.0000 0.0000 0.0000
B: 0.5000 0.5000 0.5000
Rh: 0.2181 0.2181 0.2181
Rh: 0.7819 0.7819 0.7819

Output
Space-group type = R-3m
Energy of formation = -0.432 eV/atom
Total magnetization = 0.0 Bohr magnetons per cell
E = -6.9211 eV/atom

---

(2)
LiTc2Br after structural relaxation, computed with PBE.

Lattice parameters (Å, degrees): 3.2435 3.2435 6.1651 90.00 90.00 90.00
Atoms (fractional coordinates):
Li: 0.0000 0.0000 0.0000
Tc: 0.5000 0.5000 0.1793
Tc: 0.5000 0.5000 0.8207
Br: 0.0000 0.0000 0.5000

Output
Space-group type = P4/mmm
Polymorph energy (0 for the lowest one) = 0.669 eV/atom
Uncorrected formation energy = 705 meV/atom
Total magnetization = 0.0 Bohr magnetons per cell
E = -5.3750 eV/atom

---

(3)
Ac6Ge2Pb3 after structural relaxation, computed with PBE.

Lattice parameters (Å, degrees): 13.6441 13.6441 13.6441 154.67 154.67 36.13
Atoms (fractional coordinates):
Ac: 0.0813 0.5813 0.5000
Ac: 0.2076 0.2076 0.0000
Ac: 0.4187 0.9187 0.5000
Ac: 0.5813 0.0813 0.5000
Ac: 0.7924 0.7924 0.0000
Ac: 0.9187 0.4187 0.5000
Ge: 0.0938 0.0938 0.0000
Ge: 0.9062 0.9062 0.0000
Pb: 0.3373 0.3373 0.0000
Pb: 0.5000 0.5000 0.0000
Pb: 0.6627 0.6627 0.0000

Output
Space-group type = I4/mmm
Energy of formation = -0.306 eV/atom
Total magnetization = 0.0 Bohr magnetons per cell
E = -4.3974 eV/atom

---

(4)
NaTi2SeO after structural relaxation, computed with PBE.

Lattice parameters (Å, degrees): 4.8300 4.8300 4.5011 90.00 90.00 90.00
Atoms (fractional coordinates):
Na: 0.0000 0.0000 0.0000
Ti: 0.0000 0.5000 0.0000
Ti: 0.5000 0.0000 0.0000
Se: 0.0000 0.0000 0.5000
O: 0.5000 0.5000 0.5000

Output
Space-group type = P4/mmm
Uncorrected formation energy = 1457 meV/atom
Total magnetization = 0.0 Bohr magnetons per cell
E = -3.6532 eV/atom

---

(5)
Pm2SmInO after structural relaxation, computed with PBE.

Lattice parameters (Å, degrees): 4.9414 4.9414 4.9067 90.00 90.00 90.00
Atoms (fractional coordinates):
Pm: 0.0000 0.5000 0.0000
Pm: 0.5000 0.0000 0.0000
Sm: 0.0000 0.0000 0.5000
In: 0.5000 0.5000 0.5000
O: 0.0000 0.0000 0.0000

Output
Space-group type = P4/mmm
Uncorrected formation energy = -1423 meV/atom
Total magnetization = 0.0 Bohr magnetons per cell
E = -5.8068 eV/atom

---

(6)
Be4SbTe after structural relaxation, computed with PBE.

Lattice parameters (Å, degrees): 5.0395 5.0395 5.0395 60.00 60.00 60.00
Atoms (fractional coordinates):
Be: 0.1235 0.1235 0.1235
Be: 0.1235 0.1235 0.6294
Be: 0.1235 0.6294 0.1235
Be: 0.6294 0.1235 0.1235
Sb: 0.7500 0.7500 0.7500
Te: 0.5000 0.5000 0.5000

Output
Space-group type = F-43m
Uncorrected formation energy = 718 meV/atom
Total magnetization = 0.0 Bohr magnetons per cell
E = -2.9764 eV/atom

---

(7)
YSbSe2 after structural relaxation, computed with PBE.

Lattice parameters (Å, degrees): 5.1839 5.1839 5.1839 60.00 60.00 60.00
Atoms (fractional coordinates):
Y: 0.0000 0.0000 0.0000
Sb: 0.2500 0.2500 0.2500
Se: 0.5000 0.5000 0.5000
Se: 0.7500 0.7500 0.7500

Output
Space-group type = F-43m
Uncorrected formation energy = -296 meV/atom
Total magnetization = 0.0 Bohr magnetons per cell
E = -4.6850 eV/atom

---

(8)
MgCr2Te after structural relaxation, computed with PBE.

Lattice parameters (Å, degrees): 5.5184 5.5184 5.5184 137.82 137.05 61.77
Atoms (fractional coordinates):
Mg: 0.0000 0.0000 0.0000
Cr: 0.4968 0.4968 0.0000
Cr: 0.7477 0.2477 0.5000
Te: 0.2518 0.7518 0.5000

Output
Space-group type = Imm2
Polymorph energy (0 for the lowest one) = 0.136 eV/atom
Uncorrected formation energy = 404 meV/atom
Total magnetization = 7.2 Bohr magnetons per cell
E = -5.5913 eV/atom

---

(9)
V3OsBr after structural relaxation, computed with PBE.

Lattice parameters (Å, degrees): 4.7734 4.7734 4.7734 90.00 90.00 90.00
Atoms (fractional coordinates):
V: 0.0000 0.0000 0.5000
V: 0.0000 0.5000 0.0000
V: 0.5000 0.0000 0.0000
Os: 0.0000 0.0000 0.0000
Br: 0.5000 0.5000 0.5000

Output
Space-group type = Pm-3m
Uncorrected formation energy = 1086 meV/atom
Total magnetization = 5.5 Bohr magnetons per cell
E = -6.9662 eV/atom

---

(10)
Be2HgBr after structural relaxation, computed with PBE.

Lattice parameters (Å, degrees): 5.2126 5.2126 5.2126 144.21 106.05 84.97
Atoms (fractional coordinates):
Be: 0.2486 0.2486 0.0000
Be: 0.7514 0.7514 0.0000
Hg: 0.5000 0.0000 0.5000
Br: 0.0000 0.5000 0.5000

Output
Space-group type = Immm
Polymorph energy (0 for the lowest one) = 0.426 eV/atom
Uncorrected formation energy = 614 meV/atom
Total magnetization = 0.0 Bohr magnetons per cell
E = -1.7427 eV/atom

---

(11)
BaNaPSe4 after structural relaxation, computed with PBE.

Lattice parameters (Å, degrees): 7.0789 7.0958 8.6055 90.00 107.74 90.00
Atoms (fractional coordinates):
Ba: 0.2413 0.2500 0.4335
Ba: 0.7587 0.7500 0.5665
Na: 0.2544 0.2500 0.9413
Na: 0.7456 0.7500 0.0587
P: 0.2898 0.7500 0.1873
P: 0.7102 0.2500 0.8127
Se: 0.1044 0.7500 0.9322
Se: 0.1170 0.7500 0.3689
Se: 0.4931 0.5018 0.2391
Se: 0.4931 0.9982 0.2391
Se: 0.5069 0.0018 0.7609
Se: 0.5069 0.4982 0.7609
Se: 0.8830 0.2500 0.6311
Se: 0.8956 0.2500 0.0678

Output
Space-group type = P2_1/m
Uncorrected formation energy = -917 meV/atom
Total magnetization = 0.0 Bohr magnetons per cell
E = -4.1444 eV/atom

---

(12)
LaPaRhS4 after structural relaxation, computed with PBE.

Lattice parameters (Å, degrees): 6.4980 5.8166 8.0197 90.00 106.11 90.00
Atoms (fractional coordinates):
La: 0.2461 0.2500 0.4410
La: 0.7539 0.7500 0.5590
Pa: 0.2512 0.2500 0.9431
Pa: 0.7488 0.7500 0.0569
Rh: 0.2659 0.7500 0.1610
Rh: 0.7341 0.2500 0.8390
S: 0.0529 0.7500 0.8842
S: 0.0595 0.7500 0.3688
S: 0.4652 0.5171 0.7562
S: 0.4652 0.9829 0.7562
S: 0.5348 0.0171 0.2438
S: 0.5348 0.4829 0.2438
S: 0.9405 0.2500 0.6312
S: 0.9471 0.2500 0.1158

Output
Space-group type = P2_1/m
Uncorrected formation energy = -1471 meV/atom
Total magnetization = 0.0 Bohr magnetons per cell
E = -6.9405 eV/atom

---

(13)
TbErNb after structural relaxation, computed with PBE.

Lattice parameters (Å, degrees): 6.7179 6.7179 5.2158 90.59 90.59 43.28
Atoms (fractional coordinates):
Tb: 0.1059 0.1059 0.2234
Tb: 0.8941 0.8941 0.7766
Er: 0.3940 0.3940 0.2262
Er: 0.6060 0.6060 0.7738
Nb: 0.2506 0.2506 0.6687
Nb: 0.7494 0.7494 0.3313

Output
Space-group type = C2/m
Energy of formation = 0.219 eV/atom
Total magnetization = 0.0 Bohr magnetons per cell
E = -6.2022 eV/atom

---

(14)
Sr2AgP3Pd12 after structural relaxation, computed with PBE.

Lattice parameters (Å, degrees): 7.2724 7.2724 7.2724 74.59 74.59 74.59
Atoms (fractional coordinates):
Sr: 0.1067 0.1067 0.1067
Sr: 0.8933 0.8933 0.8933
Ag: 0.5000 0.5000 0.5000
P: 0.0000 0.5000 0.5000
P: 0.5000 0.0000 0.5000
P: 0.5000 0.5000 0.0000
Pd: 0.1308 0.6478 0.6478
Pd: 0.1943 0.1943 0.5988
Pd: 0.1943 0.5988 0.1943
Pd: 0.3522 0.3522 0.8692
Pd: 0.3522 0.8692 0.3522
Pd: 0.4012 0.8057 0.8057
Pd: 0.5988 0.1943 0.1943
Pd: 0.6478 0.1308 0.6478
Pd: 0.6478 0.6478 0.1308
Pd: 0.8057 0.4012 0.8057
Pd: 0.8057 0.8057 0.4012
Pd: 0.8692 0.3522 0.3522

Output
Space-group type = R-3m
Energy of formation = -0.288 eV/atom
Total magnetization = 0.0 Bohr magnetons per cell
E = -4.9963 eV/atom

---

(15)
CuCl2 after structural relaxation, computed with PBE.

Lattice parameters (Å, degrees): 6.7363 6.7363 11.4177 90.00 90.00 120.00
Atoms (fractional coordinates):
Cu: 0.3333 0.6667 0.1441
Cu: 0.3333 0.6667 0.3559
Cu: 0.6667 0.3333 0.6441
Cu: 0.6667 0.3333 0.8559
Cl: 0.0000 0.0000 0.0000
Cl: 0.0000 0.0000 0.5000
Cl: 0.1683 0.3366 0.2500
Cl: 0.1683 0.8317 0.2500
Cl: 0.3366 0.1683 0.7500
Cl: 0.6634 0.8317 0.2500
Cl: 0.8317 0.1683 0.7500
Cl: 0.8317 0.6634 0.7500

Output
Space-group type = P6_3/mmc
Uncorrected formation energy = 107 meV/atom
Total magnetization = 4.1 Bohr magnetons per cell
E = -2.4895 eV/atom

---

(16)
CdReNi2 after structural relaxation, computed with PBE.

Lattice parameters (Å, degrees): 4.8487 4.8487 4.6374 104.53 104.53 31.92
Atoms (fractional coordinates):
Cd: 0.0000 0.0000 0.0000
Re: 0.2202 0.2202 0.6371
Ni: 0.4772 0.4772 0.4924
Ni: 0.7586 0.7586 0.1741

Output
Space-group type = Cm
Energy of formation = 0.248 eV/atom
Total magnetization = 0.0 Bohr magnetons per cell
E = -5.9832 eV/atom